First-principles (PBE with a Hubbard U) data for an optimized crystal structure of FeSbO3, as listed in the Alexandria database.

a = 3.678 Å, b = 5.738 Å, c = 6.613 Å
α = 90.00°, β = 106.14°, γ = 90.00°
Site moments in Bohr magnetons follow the coordinates.
Positions (direct):
O  0.170  0.502  0.341  0.04
O  0.170  0.998  0.341  0.04
O  0.505  0.250  0.010  0.01
O  0.495  0.750  0.990  0.01
O  0.830  0.002  0.659  0.04
O  0.830  0.498  0.659  0.04
Sb  0.065  0.750  0.129  0.01
Sb  0.935  0.250  0.871  0.01
Fe  0.685  0.250  0.370  3.79
Fe  0.315  0.750  0.630  3.79

Computed properties:
Total DFT energy (no corrections), eV per atom: -6.064
Crystal system: orthorhombic
Density, g/cm3: 5.590
Space group: Cmcm, No. 63